(1)
DFT (PBE) results for a geometry-optimized Nd5Sm4Tl structure.

a b c (Å): 4.265 4.265 18.341
angles (deg): 90.00 90.00 90.00
Element x y z (fractional)
1 Nd 0.000 0.000 0.000
2 Nd 0.000 0.000 0.204
3 Nd 0.000 0.000 0.411
4 Nd 0.000 0.000 0.589
5 Nd 0.000 0.000 0.796
6 Sm 0.500 0.500 0.102
7 Sm 0.500 0.500 0.304
8 Sm 0.500 0.500 0.696
9 Sm 0.500 0.500 0.898
10 Tl 0.500 0.500 0.500

magnetization: 0.000 μB/f.u.
V: 333.64 Å³ per cell

***

(2)
DFT (PBE) results for a geometry-optimized Nd5Sm4Tl structure.

a b c (Å): 8.181 8.181 8.181
angles (deg): 97.96 97.96 136.32
Element x y z (fractional)
1 Nd 0.000 0.000 0.000
2 Nd 0.527 0.527 0.625
3 Nd 0.527 0.902 0.000
4 Nd 0.902 0.527 0.000
5 Nd 0.902 0.902 0.375
6 Sm 0.201 0.516 0.315
7 Sm 0.201 0.886 0.685
8 Sm 0.516 0.201 0.315
9 Sm 0.886 0.201 0.685
10 Tl 0.478 0.478 0.000

magnetization: 0.000 μB/f.u.
V: 351.06 Å³ per cell

***

Here are the energies relative to the best structure, in eV/atom: (1) 0.000; (2) 0.107.

***

(1)
DFT (PBE) results for a geometry-optimized Nd6SmTl structure.

a b c (Å): 5.040 5.040 10.430
angles (deg): 90.00 90.00 90.00
Element x y z (fractional)
1 Nd 0.000 0.000 0.000
2 Nd 0.000 0.000 0.500
3 Nd 0.000 0.500 0.243
4 Nd 0.000 0.500 0.757
5 Nd 0.500 0.000 0.243
6 Nd 0.500 0.000 0.757
7 Sm 0.500 0.500 0.500
8 Tl 0.500 0.500 0.000

magnetization: 0.000 μB/f.u.
V: 264.98 Å³ per cell

***

(2)
DFT (PBE) results for a geometry-optimized Nd6SmTl structure.

a b c (Å): 6.573 6.574 9.309
angles (deg): 90.40 110.48 119.57
Element x y z (fractional)
1 Nd 0.033 0.074 0.209
2 Nd 0.254 0.685 0.211
3 Nd 0.352 0.534 0.789
4 Nd 0.648 0.466 0.211
5 Nd 0.746 0.315 0.789
6 Nd 0.967 0.926 0.791
7 Sm 0.500 0.000 0.000
8 Tl 0.500 0.500 0.500

magnetization: 0.001 μB/f.u.
V: 319.64 Å³ per cell

***

Here are the energies relative to the best structure, in eV/atom: (1) 0.000; (2) 0.473.

***

(1)
DFT (PBE) results for a geometry-optimized NdSm5Tl3 structure.

a b c (Å): 9.487 9.487 9.487
angles (deg): 124.80 124.80 81.88
Element x y z (fractional)
1 Nd 0.250 0.750 0.500
2 Nd 0.750 0.250 0.500
3 Sm 0.000 0.000 0.000
4 Sm 0.070 0.570 0.910
5 Sm 0.161 0.070 0.500
6 Sm 0.339 0.839 0.910
7 Sm 0.430 0.339 0.500
8 Sm 0.500 0.500 0.000
9 Sm 0.570 0.661 0.500
10 Sm 0.661 0.161 0.090
11 Sm 0.839 0.930 0.500
12 Sm 0.930 0.430 0.090
13 Tl 0.113 0.387 0.500
14 Tl 0.250 0.250 0.000
15 Tl 0.387 0.887 0.275
16 Tl 0.613 0.113 0.725
17 Tl 0.750 0.750 0.000
18 Tl 0.887 0.613 0.500

magnetization: 0.000 μB/f.u.
V: 553.92 Å³ per cell

***

(2)
DFT (PBE) results for a geometry-optimized NdSm5Tl3 structure.

a b c (Å): 9.577 9.577 6.877
angles (deg): 90.00 90.00 120.00
Element x y z (fractional)
1 Nd 0.000 0.000 0.000
2 Nd 0.000 0.000 0.500
3 Sm 0.000 0.331 0.250
4 Sm 0.000 0.669 0.750
5 Sm 0.331 0.000 0.250
6 Sm 0.331 0.331 0.750
7 Sm 0.333 0.667 0.000
8 Sm 0.333 0.667 0.500
9 Sm 0.667 0.333 0.000
10 Sm 0.667 0.333 0.500
11 Sm 0.669 0.000 0.750
12 Sm 0.669 0.669 0.250
13 Tl 0.000 0.337 0.750
14 Tl 0.000 0.663 0.250
15 Tl 0.337 0.000 0.750
16 Tl 0.337 0.337 0.250
17 Tl 0.663 0.000 0.250
18 Tl 0.663 0.663 0.750

magnetization: 1.962 μB/f.u.
V: 546.38 Å³ per cell

***

Here are the energies relative to the best structure, in eV/atom: (1) 0.230; (2) 0.000.

***

(1)
DFT (PBE) results for a geometry-optimized Nd2Sm3Tl structure.

a b c (Å): 4.957 15.564 4.985
angles (deg): 90.00 90.00 90.00
Element x y z (fractional)
1 Nd 0.000 0.162 0.000
2 Nd 0.000 0.838 0.000
3 Nd 0.500 0.338 0.000
4 Nd 0.500 0.662 0.000
5 Sm 0.000 0.000 0.500
6 Sm 0.000 0.335 0.500
7 Sm 0.000 0.665 0.500
8 Sm 0.500 0.165 0.500
9 Sm 0.500 0.500 0.500
10 Sm 0.500 0.835 0.500
11 Tl 0.000 0.500 0.000
12 Tl 0.500 0.000 0.000

magnetization: 0.000 μB/f.u.
V: 384.56 Å³ per cell

***

(2)
DFT (PBE) results for a geometry-optimized Nd2Sm3Tl structure.

a b c (Å): 9.614 9.614 9.614
angles (deg): 148.22 122.00 67.67
Element x y z (fractional)
1 Nd 0.277 0.027 0.250
2 Nd 0.427 0.677 0.750
3 Nd 0.573 0.323 0.250
4 Nd 0.723 0.973 0.750
5 Sm 0.000 0.500 0.500
6 Sm 0.133 0.171 0.962
7 Sm 0.290 0.829 0.462
8 Sm 0.500 0.500 0.000
9 Sm 0.710 0.171 0.538
10 Sm 0.867 0.829 0.038
11 Tl 0.103 0.353 0.750
12 Tl 0.897 0.647 0.250

magnetization: 0.000 μB/f.u.
V: 391.92 Å³ per cell

***

Here are the energies relative to the best structure, in eV/atom: (1) 0.000; (2) 0.006.

***

(1)
DFT (PBE) results for a geometry-optimized Nd5Sm2Tl4 structure.

a b c (Å): 11.958 11.958 8.526
angles (deg): 103.40 103.40 17.64
Element x y z (fractional)
1 Nd 0.000 0.000 0.000
2 Nd 0.325 0.325 0.553
3 Nd 0.376 0.376 0.022
4 Nd 0.624 0.624 0.978
5 Nd 0.675 0.675 0.447
6 Sm 0.230 0.230 0.815
7 Sm 0.770 0.770 0.185
8 Tl 0.088 0.088 0.642
9 Tl 0.472 0.472 0.671
10 Tl 0.528 0.528 0.329
11 Tl 0.912 0.912 0.358

magnetization: 0.000 μB/f.u.
V: 359.13 Å³ per cell

***

(2)
DFT (PBE) results for a geometry-optimized Nd5Sm2Tl4 structure.

a b c (Å): 8.838 3.550 10.773
angles (deg): 90.00 95.71 90.00
Element x y z (fractional)
1 Nd 0.000 0.000 0.000
2 Nd 0.035 0.000 0.334
3 Nd 0.340 0.000 0.859
4 Nd 0.660 0.000 0.141
5 Nd 0.965 0.000 0.666
6 Sm 0.414 0.000 0.362
7 Sm 0.586 0.000 0.638
8 Tl 0.255 0.500 0.579
9 Tl 0.298 0.500 0.120
10 Tl 0.702 0.500 0.880
11 Tl 0.745 0.500 0.421

magnetization: 0.001 μB/f.u.
V: 336.33 Å³ per cell

***

Here are the energies relative to the best structure, in eV/atom: (1) 0.179; (2) 0.000.

***

(1)
DFT (PBE) results for a geometry-optimized Nd2SmTl3 structure.

a b c (Å): 3.872 3.872 11.818
angles (deg): 90.00 90.00 90.00
Element x y z (fractional)
1 Nd 0.000 0.000 0.169
2 Nd 0.000 0.000 0.831
3 Sm 0.000 0.000 0.500
4 Tl 0.500 0.500 0.000
5 Tl 0.500 0.500 0.337
6 Tl 0.500 0.500 0.663

magnetization: 0.000 μB/f.u.
V: 177.18 Å³ per cell

***

(2)
DFT (PBE) results for a geometry-optimized Nd2SmTl3 structure.

a b c (Å): 14.845 14.845 6.814
angles (deg): 90.00 90.00 165.38
Element x y z (fractional)
1 Nd 0.006 0.994 0.750
2 Nd 0.152 0.848 0.250
3 Nd 0.848 0.152 0.750
4 Nd 0.994 0.006 0.250
5 Sm 0.331 0.669 0.250
6 Sm 0.669 0.331 0.750
7 Tl 0.256 0.744 0.750
8 Tl 0.423 0.577 0.511
9 Tl 0.423 0.577 0.989
10 Tl 0.577 0.423 0.011
11 Tl 0.577 0.423 0.489
12 Tl 0.744 0.256 0.250

magnetization: 0.000 μB/f.u.
V: 378.93 Å³ per cell

***

Here are the energies relative to the best structure, in eV/atom: (1) 0.000; (2) 0.143.

***

(1)
DFT (PBE) results for a geometry-optimized Nd3Sm3Tl structure.

a b c (Å): 8.870 8.870 8.870
angles (deg): 58.01 58.01 58.01
Element x y z (fractional)
1 Nd 0.075 0.794 0.296
2 Nd 0.206 0.704 0.925
3 Nd 0.296 0.075 0.794
4 Nd 0.704 0.925 0.206
5 Nd 0.794 0.296 0.075
6 Nd 0.925 0.206 0.704
7 Sm 0.070 0.559 0.726
8 Sm 0.274 0.930 0.441
9 Sm 0.441 0.274 0.930
10 Sm 0.559 0.726 0.070
11 Sm 0.726 0.070 0.559
12 Sm 0.930 0.441 0.274
13 Tl 0.336 0.336 0.336
14 Tl 0.664 0.664 0.664

magnetization: 0.000 μB/f.u.
V: 471.00 Å³ per cell

***

(2)
DFT (PBE) results for a geometry-optimized Nd3Sm3Tl structure.

a b c (Å): 9.588 9.588 5.729
angles (deg): 90.00 90.00 120.00
Element x y z (fractional)
1 Nd 0.108 0.479 0.250
2 Nd 0.372 0.892 0.250
3 Nd 0.479 0.372 0.750
4 Nd 0.521 0.628 0.250
5 Nd 0.628 0.108 0.750
6 Nd 0.892 0.521 0.750
7 Sm 0.063 0.243 0.750
8 Sm 0.180 0.937 0.750
9 Sm 0.243 0.180 0.250
10 Sm 0.757 0.820 0.750
11 Sm 0.820 0.063 0.250
12 Sm 0.937 0.757 0.250
13 Tl 0.333 0.667 0.750
14 Tl 0.667 0.333 0.250

magnetization: 0.003 μB/f.u.
V: 456.19 Å³ per cell

***

Here are the energies relative to the best structure, in eV/atom: (1) 0.168; (2) 0.000.

***

(1)
DFT (PBE) results for a geometry-optimized Nd2Sm3Tl2 structure.

a b c (Å): 3.740 5.318 22.676
angles (deg): 90.00 90.00 90.00
Element x y z (fractional)
1 Nd 0.000 0.000 0.073
2 Nd 0.000 0.000 0.927
3 Nd 0.500 0.500 0.427
4 Nd 0.500 0.500 0.573
5 Sm 0.000 0.000 0.500
6 Sm 0.000 0.500 0.297
7 Sm 0.000 0.500 0.703
8 Sm 0.500 0.000 0.203
9 Sm 0.500 0.000 0.797
10 Sm 0.500 0.500 0.000
11 Tl 0.000 0.500 0.152
12 Tl 0.000 0.500 0.848
13 Tl 0.500 0.000 0.348
14 Tl 0.500 0.000 0.652

magnetization: 0.000 μB/f.u.
V: 451.01 Å³ per cell

***

(2)
DFT (PBE) results for a geometry-optimized Nd2Sm3Tl2 structure.

a b c (Å): 9.605 5.550 8.862
angles (deg): 90.00 111.23 90.00
Element x y z (fractional)
1 Nd 0.077 0.000 0.231
2 Nd 0.423 0.500 0.769
3 Nd 0.577 0.500 0.231
4 Nd 0.923 0.000 0.769
5 Sm 0.000 0.500 0.500
6 Sm 0.154 0.500 0.962
7 Sm 0.346 0.000 0.038
8 Sm 0.500 0.000 0.500
9 Sm 0.654 0.000 0.962
10 Sm 0.846 0.500 0.038
11 Tl 0.217 0.000 0.651
12 Tl 0.283 0.500 0.349
13 Tl 0.717 0.500 0.651
14 Tl 0.783 0.000 0.349

magnetization: 0.000 μB/f.u.
V: 440.36 Å³ per cell

***

Here are the energies relative to the best structure, in eV/atom: (1) 0.085; (2) 0.000.

***

(1)
DFT (PBE) results for a geometry-optimized NdSmTl4 structure.

a b c (Å): 6.253 6.253 6.253
angles (deg): 60.00 60.00 60.00
Element x y z (fractional)
1 Nd 0.000 0.000 0.000
2 Sm 0.250 0.250 0.250
3 Tl 0.125 0.625 0.625
4 Tl 0.625 0.125 0.625
5 Tl 0.625 0.625 0.125
6 Tl 0.625 0.625 0.625

magnetization: 0.000 μB/f.u.
V: 172.91 Å³ per cell

***

(2)
DFT (PBE) results for a geometry-optimized NdSmTl4 structure.

a b c (Å): 7.268 7.278 7.663
angles (deg): 90.00 90.22 90.00
Element x y z (fractional)
1 Nd 0.000 0.000 0.000
2 Nd 0.500 0.500 0.000
3 Sm 0.000 0.500 0.500
4 Sm 0.500 0.000 0.500
5 Tl 0.250 0.249 0.746
6 Tl 0.250 0.251 0.254
7 Tl 0.250 0.749 0.254
8 Tl 0.250 0.751 0.746
9 Tl 0.750 0.249 0.254
10 Tl 0.750 0.251 0.746
11 Tl 0.750 0.749 0.746
12 Tl 0.750 0.751 0.254

magnetization: 0.000 μB/f.u.
V: 405.36 Å³ per cell

***

Here are the energies relative to the best structure, in eV/atom: (1) 0.000; (2) 0.108.

***

(1)
DFT (PBE) results for a geometry-optimized Nd5SmTl2 structure.

a b c (Å): 3.741 11.038 12.654
angles (deg): 90.00 90.00 90.00
Element x y z (fractional)
1 Nd 0.000 0.000 0.000
2 Nd 0.000 0.278 0.362
3 Nd 0.000 0.278 0.638
4 Nd 0.000 0.722 0.362
5 Nd 0.000 0.722 0.638
6 Nd 0.500 0.222 0.138
7 Nd 0.500 0.222 0.862
8 Nd 0.500 0.500 0.500
9 Nd 0.500 0.778 0.138
10 Nd 0.500 0.778 0.862
11 Sm 0.000 0.500 0.000
12 Sm 0.500 0.000 0.500
13 Tl 0.000 0.000 0.273
14 Tl 0.000 0.000 0.727
15 Tl 0.500 0.500 0.227
16 Tl 0.500 0.500 0.773

magnetization: 0.000 μB/f.u.
V: 522.49 Å³ per cell

***

(2)
DFT (PBE) results for a geometry-optimized Nd5SmTl2 structure.

a b c (Å): 5.600 5.600 20.428
angles (deg): 90.00 90.00 120.00
Element x y z (fractional)
1 Nd 0.000 0.000 0.162
2 Nd 0.000 0.000 0.338
3 Nd 0.000 0.000 0.662
4 Nd 0.000 0.000 0.838
5 Nd 0.333 0.667 0.064
6 Nd 0.333 0.667 0.250
7 Nd 0.333 0.667 0.436
8 Nd 0.667 0.333 0.564
9 Nd 0.667 0.333 0.750
10 Nd 0.667 0.333 0.936
11 Sm 0.333 0.667 0.750
12 Sm 0.667 0.333 0.250
13 Tl 0.333 0.667 0.594
14 Tl 0.333 0.667 0.906
15 Tl 0.667 0.333 0.094
16 Tl 0.667 0.333 0.406

magnetization: 0.001 μB/f.u.
V: 554.86 Å³ per cell

***

Here are the energies relative to the best structure, in eV/atom: (1) 0.000; (2) 0.059.